1.
The following is a DFT calculation (PBE) of crystalline Li2RuPt at its relaxed geometry.

a b c (Å): 4.2905 4.2905 4.2905
angles (deg): 60.00 60.00 60.00
Fractional positions:
1 Li 0.0000 0.0000 0.0000
2 Li 0.2500 0.2500 0.2500
3 Ru 0.5000 0.5000 0.5000
4 Pt 0.7500 0.7500 0.7500

## Properties
E above lowest polymorph: 0.1473 eV/atom
N(E_F): 0.79 states/eV per atom
V: 14.0 Å³ per atom



2.
The following is a DFT calculation (PBE) of crystalline LiRuPt at its relaxed geometry.

a b c (Å): 4.2665 4.2665 2.6653
angles (deg): 90.00 90.00 120.00
Fractional positions:
1 Li 0.0000 0.0000 0.0000
2 Ru 0.6667 0.3333 0.6536
3 Pt 0.3333 0.6667 0.2103

## Properties
E above lowest polymorph: 0.0888 eV/atom
N(E_F): 1.18 states/eV per atom
V: 14.0 Å³ per atom



3.
The following is a DFT calculation (PBE) of crystalline LiRu2Pt at its relaxed geometry.

a b c (Å): 2.6830 2.6830 9.1338
angles (deg): 90.00 90.00 117.99
Fractional positions:
1 Li 0.0000 0.0000 0.0000
2 Ru 0.0000 0.0000 0.4924
3 Ru 0.5000 0.5000 0.2544
4 Pt 0.5000 0.5000 0.7619

## Properties
E above lowest polymorph: 0.1712 eV/atom
N(E_F): 1.04 states/eV per atom
V: 14.5 Å³ per atom



4.
The following is a DFT calculation (PBE) of crystalline LiRu2Pt at its relaxed geometry.

a b c (Å): 4.5407 4.5407 2.7503
angles (deg): 90.00 90.00 90.00
Fractional positions:
1 Li 0.0000 0.0000 0.0000
2 Ru 0.0000 0.5000 0.5000
3 Ru 0.5000 0.0000 0.5000
4 Pt 0.5000 0.5000 0.0000

## Properties
E above lowest polymorph: 0.3388 eV/atom
N(E_F): 1.62 states/eV per atom
V: 14.2 Å³ per atom



5.
The following is a DFT calculation (PBE) of crystalline Li3RuPt at its relaxed geometry.

a b c (Å): 4.5155 4.5155 4.5155
angles (deg): 90.00 90.00 90.00
Fractional positions:
1 Li 0.0000 0.0000 0.5000
2 Li 0.0000 0.5000 0.0000
3 Li 0.5000 0.0000 0.0000
4 Ru 0.5000 0.5000 0.5000
5 Pt 0.0000 0.0000 0.0000

## Properties
E above lowest polymorph: 0.0000 eV/atom
N(E_F): 1.00 states/eV per atom
V: 18.4 Å³ per atom



6.
The following is a DFT calculation (PBE) of crystalline Li2RuPt at its relaxed geometry.

a b c (Å): 2.6653 4.5324 4.6152
angles (deg): 90.00 90.00 90.00
Fractional positions:
1 Li 0.0000 0.0000 0.0000
2 Li 0.5000 0.5000 0.1241
3 Ru 0.5000 0.0000 0.5080
4 Pt 0.0000 0.5000 0.6207

## Properties
E above lowest polymorph: 0.0218 eV/atom
N(E_F): 0.43 states/eV per atom
V: 13.9 Å³ per atom



7.
The following is a DFT calculation (PBE) of crystalline LiRu2Pt at its relaxed geometry.

a b c (Å): 4.7547 4.7547 4.5689
angles (deg): 97.64 97.64 33.04
Fractional positions:
1 Li 0.0000 0.0000 0.0000
2 Ru 0.2407 0.2407 0.7545
3 Ru 0.7593 0.7593 0.2455
4 Pt 0.5000 0.5000 0.5000

## Properties
E above lowest polymorph: 0.0427 eV/atom
N(E_F): 1.19 states/eV per atom
V: 13.9 Å³ per atom



8.
The following is a DFT calculation (PBE) of crystalline Li2RuPt at its relaxed geometry.

a b c (Å): 4.3869 4.3869 2.6665
angles (deg): 90.00 90.00 90.00
Fractional positions:
1 Li 0.0000 0.5000 0.0000
2 Li 0.5000 0.0000 0.0000
3 Ru 0.0000 0.0000 0.5000
4 Pt 0.5000 0.5000 0.5000

## Properties
E above lowest polymorph: 0.2740 eV/atom
N(E_F): 0.90 states/eV per atom
V: 12.8 Å³ per atom



9.
The following is a DFT calculation (PBE) of crystalline LiRuPt2 at its relaxed geometry.

a b c (Å): 4.7856 2.6703 4.8505
angles (deg): 90.00 111.47 90.00
Fractional positions:
1 Li 0.0000 0.0000 0.0000
2 Ru 0.0000 0.5000 0.5000
3 Pt 0.5000 0.0000 0.5000
4 Pt 0.5000 0.5000 0.0000

## Properties
E above lowest polymorph: 0.1462 eV/atom
N(E_F): 0.97 states/eV per atom
V: 14.4 Å³ per atom



10.
The following is a DFT calculation (PBE) of crystalline LiRu2Pt at its relaxed geometry.

a b c (Å): 2.7265 3.7492 5.4244
angles (deg): 90.00 90.00 90.00
Fractional positions:
1 Li 0.0000 0.0000 0.0000
2 Ru 0.0000 0.0000 0.5107
3 Ru 0.5000 0.5000 0.7258
4 Pt 0.5000 0.5000 0.2136

## Properties
E above lowest polymorph: 0.0000 eV/atom
N(E_F): 0.83 states/eV per atom
V: 13.9 Å³ per atom



11.
The following is a DFT calculation (PBE) of crystalline LiRuPt at its relaxed geometry.

a b c (Å): 4.5889 4.5889 4.5889
angles (deg): 145.85 129.44 62.43
Fractional positions:
1 Li 0.0000 0.0000 0.0000
2 Ru 0.3299 0.3299 0.0000
3 Pt 0.6650 0.6650 0.0000

## Properties
E above lowest polymorph: 0.0137 eV/atom
N(E_F): 0.80 states/eV per atom
V: 13.8 Å³ per atom



12.
The following is a DFT calculation (PBE) of crystalline LiRu2Pt at its relaxed geometry.

a b c (Å): 2.6818 4.6071 4.5873
angles (deg): 90.00 92.98 90.00
Fractional positions:
1 Li 0.0000 0.0000 0.0000
2 Ru 0.2600 0.5000 0.7609
3 Ru 0.7400 0.5000 0.2391
4 Pt 0.5000 0.0000 0.5000

## Properties
E above lowest polymorph: 0.1631 eV/atom
N(E_F): 1.32 states/eV per atom
V: 14.2 Å³ per atom



What is the V in the eighth record?
12.8 Å³ per atom